[1]
This record from Alexandria describes a relaxed structure of SrAlRhO6. The functional is PBE.

extended XYZ file:
```
9
Lattice="5.080 0.000 0.000 2.540 4.400 0.000 0.000 0.000 5.476" Properties=species:S:1:pos:R:3 pbc="T T T"
O 4.151 1.653 3.792
Al 5.080 2.933 2.738
O 6.653 2.768 3.792
O 4.436 4.378 3.792
O 6.010 1.653 1.684
O 5.724 4.378 1.684
Sr 5.080 0.000 5.476
O 3.507 2.768 1.684
Rh 2.540 1.466 2.738
```

Fermi-level density of states, states/eV/atom: 0.4904
M_tot, μB/atom: 0.000
Total DFT energy (no corrections), eV per atom: -6.34



[2]
This record from Alexandria describes a relaxed structure of Na5Ga3F14. The functional is PBE.

extended XYZ file:
```
44
Lattice="-6.848 2.131 -1.545 -0.121 -4.603 -5.811 -3.890 -12.166 0.462" Properties=species:S:1:pos:R:3 pbc="T T T"
Na -6.171 -3.536 -3.883
F -4.950 -13.377 -3.659
F -1.156 -5.758 -4.751
F -5.094 -3.626 -1.773
F -3.605 -9.483 -5.924
F -6.911 -11.101 -2.185
Na -3.484 -1.236 -3.678
F -5.982 -8.353 -5.004
Ga 0.000 0.000 0.000
F -7.254 -5.155 -0.970
F -8.354 -3.964 -3.180
Ga -3.424 1.065 -0.772
F -2.876 -7.711 -0.091
F -5.908 -1.261 -3.235
Na -5.870 -6.094 -6.726
Ga -0.061 -2.302 -2.906
F -7.370 -13.806 -5.995
Ga -1.945 -6.083 0.231
F -5.505 -15.580 -5.682
F -7.983 -6.928 -6.803
F -3.618 -7.104 -4.029
Ga -5.429 -7.319 -3.447
F -9.162 -11.481 -4.445
F -2.504 -10.674 -3.714
F -7.241 -7.534 -2.866
F -5.354 0.941 -1.212
Na -8.024 -9.648 -3.631
Na -2.834 -4.991 -3.263
F -5.765 -11.012 -5.122
F -9.703 -8.880 -2.143
Na -4.989 -8.544 -0.168
F -4.876 -6.285 -1.890
F -6.446 -1.521 -5.778
Na -2.341 -2.680 -0.240
Ga -5.369 -5.018 -0.541
F -3.488 -0.832 -0.899
F -4.413 -13.117 -1.116
F -4.858 -8.861 -2.492
F -1.696 -3.157 -2.449
F -6.000 -5.777 -4.402
Na -2.006 -8.384 -2.675
Na -8.518 -11.958 -6.654
Na -4.687 -11.102 -3.011
F -3.947 -3.537 -4.709
```

Fermi-level density of states, states/eV/atom: 0.0000
M_tot, μB/atom: 0.000
Total DFT energy (no corrections), eV per atom: -4.65



[3]
This record from Alexandria describes a relaxed structure of Y3MgIr. The functional is PBE.

extended XYZ file:
```
5
Lattice="5.415 0.000 0.000 0.000 5.415 0.000 0.000 0.000 5.415" Properties=species:S:1:pos:R:3 pbc="T T T"
Mg 2.707 2.707 2.707
Y 2.707 0.000 0.000
Y 0.000 0.000 2.707
Ir 0.000 0.000 0.000
Y 0.000 2.707 0.000
```

Fermi-level density of states, states/eV/atom: 1.1670
M_tot, μB/atom: 0.000
Energy relative to the lowest polymorph listed for this composition, meV/atom: 0
Energy of formation, meV per atom: -270.1



[4]
This record from Alexandria describes a relaxed structure of Ba8In2Ga. The functional is PBE.

extended XYZ file:
```
11
Lattice="-1.966 -5.233 -2.394 7.298 -0.962 -3.890 1.600 -1.984 10.745" Properties=species:S:1:pos:R:3 pbc="T T T"
Ba 2.294 -3.919 -1.041
Ba 0.752 -3.166 6.303
Ba 5.833 -1.012 -2.578
Ba 4.497 -6.010 1.720
In 5.349 -2.362 0.769
Ba 1.098 -7.167 7.040
Ga -0.983 -2.617 -1.197
In 1.582 -5.817 3.692
Ba 2.435 -2.169 2.741
Ba 6.180 -5.013 -1.841
Ba 4.638 -4.260 5.502
```

Fermi-level density of states, states/eV/atom: 0.9666
M_tot, μB/atom: 0.001
Energy of formation, meV per atom: -237.1



[5]
This record from Alexandria describes a relaxed structure of KZrZn2. The functional is PBE.

extended XYZ file:
```
4
Lattice="5.596 0.037 0.000 -0.041 5.596 0.000 0.000 0.000 2.849" Properties=species:S:1:pos:R:3 pbc="T T T"
K -0.020 2.798 1.424
Zn 2.778 2.816 0.000
Zr 2.798 0.018 1.424
Zn 0.000 0.000 0.000
```

Fermi-level density of states, states/eV/atom: 0.8011
M_tot, μB/atom: 0.000
Energy relative to the lowest polymorph listed for this composition, meV/atom: 167
Energy of formation, meV per atom: 240.1



[6]
This record from Alexandria describes a relaxed structure of Ti2Ga2Pd. The functional is PBE.

extended XYZ file:
```
10
Lattice="6.481 0.000 0.000 0.000 6.481 0.000 0.000 0.000 3.837" Properties=species:S:1:pos:R:3 pbc="T T T"
Ti 5.416 2.175 1.918
Ti 2.175 1.066 1.918
Ti 4.306 5.416 1.918
Ga 0.892 2.349 0.000
Ga 2.349 5.589 0.000
Ga 4.133 0.892 0.000
Pd 0.000 0.000 0.000
Ti 1.066 4.306 1.918
Pd 3.241 3.241 0.000
Ga 5.589 4.133 0.000
```

Fermi-level density of states, states/eV/atom: 0.8030
M_tot, μB/atom: 0.000
Energy relative to the lowest polymorph listed for this composition, meV/atom: 0
Energy of formation, meV per atom: -528.0



[7]
This record from Alexandria describes a relaxed structure of Ca2PrH6. The functional is PBE.

extended XYZ file:
```
9
Lattice="-3.015 -3.449 -3.540 2.256 -5.037 -1.748 -2.176 -4.988 1.978" Properties=species:S:1:pos:R:3 pbc="T T T"
H -3.147 -7.503 -1.614
H -2.166 -5.254 -2.505
Ca -2.201 -10.105 -2.483
H -0.770 -8.220 -0.805
H -1.148 -7.526 -3.294
H -1.787 -5.948 -0.017
H 0.212 -5.971 -1.697
Ca -0.734 -3.368 -0.828
Pr 0.000 0.000 0.000
```

Fermi-level density of states, states/eV/atom: 0.2636
M_tot, μB/atom: 0.000
Total DFT energy (no corrections), eV per atom: -3.20



[8]
This record from Alexandria describes a relaxed structure of ZrMo2. The functional is PBE.

extended XYZ file:
```
6
Lattice="-1.818 2.578 -6.425 -0.810 -4.320 5.649 -2.744 3.217 2.067" Properties=species:S:1:pos:R:3 pbc="T T T"
Zr -3.288 0.966 2.171
Mo -2.963 -1.254 6.055
Mo -3.617 3.222 -1.777
Mo -1.754 -1.746 3.068
Zr -2.084 0.510 -0.880
Mo -2.408 2.729 -4.764
```

Fermi-level density of states, states/eV/atom: 1.2375
M_tot, μB/atom: 0.000
Energy relative to the lowest polymorph listed for this composition, meV/atom: 113
Energy of formation, meV per atom: -36.5



[9]
This record from Alexandria describes a relaxed structure of HfICl2. The functional is PBE.

extended XYZ file:
```
8
Lattice="9.068 0.000 0.000 0.000 9.068 0.000 4.534 4.534 2.928" Properties=species:S:1:pos:R:3 pbc="T T T"
Cl 10.001 6.801 0.732
I 4.534 4.534 0.000
I 4.534 9.068 1.464
Cl 6.801 5.467 2.196
Hf 9.068 4.534 1.464
Hf 0.000 0.000 0.000
Cl 11.335 3.600 2.196
Cl 8.134 2.267 0.732
```

Fermi-level density of states, states/eV/atom: 0.5446
M_tot, μB/atom: 0.250
Energy relative to the lowest polymorph listed for this composition, meV/atom: 8



[10]
This record from Alexandria describes a relaxed structure of TiAlAg. The functional is PBE.

extended XYZ file:
```
6
Lattice="6.576 0.000 0.012 0.000 4.191 0.000 5.454 0.000 3.674" Properties=species:S:1:pos:R:3 pbc="T T T"
Ti 1.802 1.561 0.216
Al 5.362 3.656 3.309
Ag 9.906 1.560 2.699
Al 7.875 3.656 2.077
Ti 5.980 1.560 1.496
Ag 3.891 3.656 0.856
```

Fermi-level density of states, states/eV/atom: 0.6254
M_tot, μB/atom: 0.215
Energy of formation, meV per atom: -187.8



[11]
This record from Alexandria describes a relaxed structure of MgNiB3. The functional is PBE.

extended XYZ file:
```
5
Lattice="3.809 0.000 0.000 0.000 3.809 0.000 0.000 0.000 3.809" Properties=species:S:1:pos:R:3 pbc="T T T"
Ni 0.000 0.000 0.000
B 0.000 0.000 1.904
B 0.000 1.904 0.000
B 1.904 0.000 0.000
Mg 1.904 1.904 1.904
```

Fermi-level density of states, states/eV/atom: 0.3870
M_tot, μB/atom: 0.000
Energy relative to the lowest polymorph listed for this composition, meV/atom: 0
Energy of formation, meV per atom: 891.1



[12]
This record from Alexandria describes a relaxed structure of ZrAl3CuPd. The functional is PBE.

extended XYZ file:
```
12
Lattice="5.705 0.000 0.000 0.000 5.776 0.000 0.000 -2.888 6.137" Properties=species:S:1:pos:R:3 pbc="T T T"
Al 1.426 0.000 1.817
Zr 1.426 2.888 2.408
Al 0.000 4.170 0.000
Cu 4.279 0.000 1.154
Al 4.279 2.888 4.320
Al 2.852 1.606 0.000
Al 0.000 1.606 0.000
Zr 4.279 0.000 3.729
Pd 1.426 0.000 4.337
Cu 1.426 2.888 4.983
Al 2.852 4.170 0.000
Pd 4.279 2.888 1.800
```

Fermi-level density of states, states/eV/atom: 0.4637
M_tot, μB/atom: 0.000
Energy of formation, meV per atom: -302.3